Li3MnO3: optimized geometry, PBE+U.

The structure in CIF format:
```
data_Li3MnO3
_cell_length_a 9.132
_cell_length_b 9.132
_cell_length_c 3.532
_cell_angle_alpha 90.00
_cell_angle_beta 90.00
_cell_angle_gamma 90.00
_symmetry_space_group_name_H-M 'P 1'
_symmetry_Int_Tables_number 1
loop_
_symmetry_equiv_pos_as_xyz
'x,y,z'
loop_
_atom_site_label
_atom_site_type_symbol
_atom_site_fract_x
_atom_site_fract_y
_atom_site_fract_z
_atom_site_occupancy
Li1 Li 0.094 0.356 0.000 1
Li2 Li 0.144 0.594 0.500 1
Li3 Li 0.174 0.174 0.500 1
Li4 Li 0.326 0.674 0.000 1
Li5 Li 0.356 0.094 0.000 1
Li6 Li 0.406 0.856 0.500 1
Li7 Li 0.594 0.144 0.500 1
Li8 Li 0.644 0.906 0.000 1
Li9 Li 0.674 0.326 0.000 1
Li10 Li 0.826 0.826 0.500 1
Li11 Li 0.856 0.406 0.500 1
Li12 Li 0.906 0.644 0.000 1
Mn1 Mn 0.115 0.885 0.000 1
Mn2 Mn 0.385 0.385 0.500 1
Mn3 Mn 0.615 0.615 0.500 1
Mn4 Mn 0.885 0.115 0.000 1
O1 O 0.101 0.101 0.000 1
O2 O 0.112 0.679 0.000 1
O3 O 0.179 0.388 0.500 1
O4 O 0.321 0.888 0.000 1
O5 O 0.388 0.179 0.500 1
O6 O 0.399 0.601 0.500 1
O7 O 0.601 0.399 0.500 1
O8 O 0.612 0.821 0.500 1
O9 O 0.679 0.112 0.000 1
O10 O 0.821 0.612 0.500 1
O11 O 0.888 0.321 0.000 1
O12 O 0.899 0.899 0.000 1
```

Summary:
Magnetic moment in μB per atom: 0.5702
Space-group type: No. 136
Density in g/cm3: 2.8
Offset from the most stable computed form in eV/atom: 0.000